A plane-wave DFT calculation with PBE-GGA was carried out for Ho4Zr3N8 after structural relaxation.

a = 6.6705 Å, b = 6.6705 Å, c = 6.6496 Å
α = 119.59°, β = 119.59°, γ = 90.34°
With the nearest neighbours (Å) after each atom.
Element x y z (fractional)
Ho1 0.0000 0.0000 0.0000  6 N 2.40-2.45
Ho2 0.0000 0.5000 0.0000  6 N 2.35-2.37
Ho3 0.5000 0.0000 0.0000  6 N 2.35-2.37
Ho4 0.5000 0.5000 0.5000  6 N 2.28-2.31
Zr1 0.0000 0.5000 0.5000  6 N 2.35-2.37
Zr2 0.5000 0.0000 0.5000  6 N 2.35-2.37
Zr3 0.5000 0.5000 0.0000  6 N 2.25-2.33
N1 0.2541 0.7459 0.0000  3 Zr 2.33-2.37, 3 Ho 2.35-2.40
N2 0.2567 0.7433 0.5000  3 Ho 2.30-2.37, 2 Zr 2.35
N3 0.2603 0.2603 0.5123  2 Ho 2.31-2.43, 3 Zr 2.32-2.37
N4 0.2708 0.2708 0.0202  1 Zr 2.25, 4 Ho 2.28-2.45
N5 0.7292 0.7292 0.9798  1 Zr 2.25, 4 Ho 2.28-2.45
N6 0.7397 0.7397 0.4877  2 Ho 2.31-2.43, 3 Zr 2.32-2.37
N7 0.7433 0.2567 0.5000  3 Ho 2.30-2.37, 2 Zr 2.35
N8 0.7459 0.2541 0.0000  3 Zr 2.33-2.37, 3 Ho 2.35-2.40

Results
formation energy from raw total energies	-1.44	eV per atom



A plane-wave DFT calculation with PBE-GGA was carried out for HoZrN2 after structural relaxation.

a = 3.3088 Å, b = 3.3088 Å, c = 11.1436 Å
α = 90.00°, β = 90.00°, γ = 120.00°
With the nearest neighbours (Å) after each atom.
Element x y z (fractional)
Ho1 0.3333 0.6667 0.2500  6 N 2.43
Ho2 0.6667 0.3333 0.7500  6 N 2.43
Zr1 0.0000 0.0000 0.0000  6 N 2.30
Zr2 0.0000 0.0000 0.5000  6 N 2.30
N1 0.3333 0.6667 0.6148  3 Zr 2.30, 3 Ho 2.43
N2 0.3333 0.6667 0.8852  3 Zr 2.30, 3 Ho 2.43
N3 0.6667 0.3333 0.1148  3 Zr 2.30, 3 Ho 2.43
N4 0.6667 0.3333 0.3852  3 Zr 2.30, 3 Ho 2.43

Results
formation energy from raw total energies	-1.70	eV per atom



A plane-wave DFT calculation with PBE-GGA was carried out for HoZr2N4 after structural relaxation.

a = 6.3068 Å, b = 6.3068 Å, c = 5.5352 Å
α = 114.31°, β = 114.31°, γ = 30.71°
With the nearest neighbours (Å) after each atom.
Element x y z (fractional)
Ho1 0.0000 0.0000 0.0000  6 N 2.35-2.41
Zr1 0.2890 0.2890 0.2929  4 N 2.12-2.32
Zr2 0.7110 0.7110 0.7071  4 N 2.12-2.32
N1 0.1409 0.1409 0.4516  3 Zr 2.12-2.32, 1 Ho 2.35
N2 0.3562 0.3562 0.9936  1 Zr 2.14
N3 0.6438 0.6438 0.0064  1 Zr 2.14
N4 0.8591 0.8591 0.5484  3 Zr 2.12-2.32, 1 Ho 2.35

Results
formation energy from raw total energies	-1.22	eV per atom



A plane-wave DFT calculation with PBE-GGA was carried out for HoZr2N2 after structural relaxation.

a = 5.9060 Å, b = 5.9060 Å, c = 5.9060 Å
α = 146.58°, β = 134.69°, γ = 57.46°
With the nearest neighbours (Å) after each atom.
Element x y z (fractional)
Ho1 0.0000 0.0000 0.0000  4 N 2.44
Zr1 0.3137 0.3137 0.0000  4 N 2.26-2.28
Zr2 0.6863 0.6863 0.0000  4 N 2.26-2.28
N1 0.1696 0.6696 0.5000  4 Zr 2.26-2.28, 2 Ho 2.44
N2 0.8304 0.3304 0.5000  4 Zr 2.26-2.28, 2 Ho 2.44

Results
formation energy from raw total energies	-1.39	eV per atom



A plane-wave DFT calculation with PBE-GGA was carried out for HoZr5N6 after structural relaxation.

a = 5.6948 Å, b = 5.6948 Å, c = 5.7049 Å
α = 99.56°, β = 99.56°, γ = 120.05°
With the nearest neighbours (Å) after each atom.
Element x y z (fractional)
Ho1 0.0000 0.0000 0.0000  6 N 2.35-2.37
Zr1 0.1664 0.8336 0.5000  6 N 2.29-2.33
Zr2 0.3330 0.6670 0.0000  6 N 2.32-2.33
Zr3 0.5000 0.5000 0.5000  6 N 2.30-2.32
Zr4 0.6670 0.3330 0.0000  6 N 2.32-2.33
Zr5 0.8336 0.1664 0.5000  6 N 2.29-2.33
N1 0.0851 0.4230 0.2558  5 Zr 2.29-2.33, 1 Ho 2.37
N2 0.2544 0.2544 0.7481  5 Zr 2.30-2.33, 1 Ho 2.35
N3 0.4230 0.0851 0.2558  5 Zr 2.29-2.33, 1 Ho 2.37
N4 0.5770 0.9149 0.7442  5 Zr 2.29-2.33, 1 Ho 2.37
N5 0.7456 0.7456 0.2519  5 Zr 2.30-2.33, 1 Ho 2.35
N6 0.9149 0.5770 0.7442  5 Zr 2.29-2.33, 1 Ho 2.37

Results
formation energy from raw total energies	-1.70	eV per atom



A plane-wave DFT calculation with PBE-GGA was carried out for HoZr2N after structural relaxation.

a = 8.9834 Å, b = 8.9834 Å, c = 8.9834 Å
α = 21.10°, β = 21.10°, γ = 21.10°
With the nearest neighbours (Å) after each atom.
Element x y z (fractional)
Ho1 0.0000 0.0000 0.0000  2 Zr 3.15, 6 Ho 3.29
Zr1 0.1197 0.1197 0.1197  3 N 2.27
Zr2 0.8803 0.8803 0.8803  3 N 2.27
N1 0.5000 0.5000 0.5000  6 Zr 2.27

Results
formation energy from raw total energies	-0.66	eV per atom



A plane-wave DFT calculation with PBE-GGA was carried out for HoZrN2 after structural relaxation.

a = 6.0679 Å, b = 6.0679 Å, c = 6.0679 Å
α = 31.44°, β = 31.44°, γ = 31.44°
With the nearest neighbours (Å) after each atom.
Element x y z (fractional)
Ho1 0.0000 0.0000 0.0000  6 N 2.34-2.48
Zr1 0.8258 0.8258 0.8258  6 N 2.35-2.36
N1 0.4127 0.4127 0.4127  3 Ho 2.34, 3 Zr 2.35
N2 0.5741 0.5741 0.5741  3 Zr 2.36, 3 Ho 2.48

Results
formation energy from raw total energies	-1.49	eV per atom



A plane-wave DFT calculation with PBE-GGA was carried out for HoZr4N5 after structural relaxation.

a = 5.7049 Å, b = 5.7049 Å, c = 5.7049 Å
α = 99.63°, β = 99.63°, γ = 131.71°
With the nearest neighbours (Å) after each atom.
Element x y z (fractional)
Ho1 0.0000 0.0000 0.0000  6 N 2.33-2.37
Zr1 0.1997 0.3992 0.5989  6 N 2.30-2.34
Zr2 0.3992 0.8003 0.1995  6 N 2.30-2.34
Zr3 0.6008 0.1997 0.8005  6 N 2.30-2.34
Zr4 0.8003 0.6008 0.4011  6 N 2.30-2.34
N1 0.1000 0.6946 0.7946  5 Zr 2.30-2.34, 1 Ho 2.37
N2 0.3054 0.1000 0.4054  5 Zr 2.30-2.34, 1 Ho 2.37
N3 0.5000 0.5000 0.0000  4 Zr 2.33, 2 Ho 2.33
N4 0.6946 0.9000 0.5946  5 Zr 2.30-2.34, 1 Ho 2.37
N5 0.9000 0.3054 0.2054  5 Zr 2.30-2.34, 1 Ho 2.37

Results
formation energy from raw total energies	-1.70	eV per atom



A plane-wave DFT calculation with PBE-GGA was carried out for HoZr4N4 after structural relaxation.

a = 4.6037 Å, b = 5.7413 Å, c = 5.7469 Å
α = 80.84°, β = 66.45°, γ = 66.48°
With the nearest neighbours (Å) after each atom.
Element x y z (fractional)
Ho1 0.0000 0.0000 0.0000  4 N 2.40
Zr1 0.1851 0.2038 0.4262  5 N 2.22-2.36
Zr2 0.3889 0.4262 0.7963  5 N 2.22-2.36
Zr3 0.6111 0.5738 0.2037  5 N 2.22-2.36
Zr4 0.8149 0.7962 0.5738  5 N 2.22-2.36
N1 0.1012 0.5926 0.2051  5 Zr 2.22-2.36, 1 Ho 2.40
N2 0.3058 0.7950 0.5933  5 Zr 2.22-2.36, 1 Ho 2.40
N3 0.6942 0.2050 0.4067  5 Zr 2.22-2.36, 1 Ho 2.40
N4 0.8988 0.4074 0.7949  5 Zr 2.22-2.36, 1 Ho 2.40

Results
formation energy from raw total energies	-1.53	eV per atom



A plane-wave DFT calculation with PBE-GGA was carried out for HoZrN after structural relaxation.

a = 3.4902 Å, b = 3.4902 Å, c = 4.4342 Å
α = 90.00°, β = 90.00°, γ = 90.00°
With the nearest neighbours (Å) after each atom.
Element x y z (fractional)
Ho1 0.0000 0.0000 0.0000  4 N 2.47
Zr1 0.5000 0.5000 0.5000  2 N 2.22
N1 0.5000 0.5000 0.0000  2 Zr 2.22, 4 Ho 2.47

Results
formation energy from raw total energies	-1.09	eV per atom



A plane-wave DFT calculation with PBE-GGA was carried out for Ho5Zr3N8 after structural relaxation.

a = 6.7440 Å, b = 6.7440 Å, c = 6.7440 Å
α = 59.79°, β = 59.79°, γ = 59.79°
With the nearest neighbours (Å) after each atom.
Element x y z (fractional)
Ho1 0.0000 0.0000 0.0000  6 N 2.38
Ho2 0.0000 0.5000 0.5000  6 N 2.43-2.44
Ho3 0.5000 0.0000 0.5000  6 N 2.43-2.44
Ho4 0.5000 0.5000 0.0000  6 N 2.43-2.44
Ho5 0.5000 0.5000 0.5000  6 N 2.38
Zr1 0.0000 0.0000 0.5000  6 N 2.33
Zr2 0.0000 0.5000 0.0000  6 N 2.33
Zr3 0.5000 0.0000 0.0000  6 N 2.33
N1 0.2383 0.7500 0.7500  2 Zr 2.33, 4 Ho 2.38-2.44
N2 0.2451 0.2451 0.2451  3 Zr 2.33, 3 Ho 2.43
N3 0.2500 0.2500 0.7617  2 Zr 2.33, 4 Ho 2.38-2.44
N4 0.2500 0.7617 0.2500  2 Zr 2.33, 4 Ho 2.38-2.44
N5 0.7500 0.2383 0.7500  2 Zr 2.33, 4 Ho 2.38-2.44
N6 0.7500 0.7500 0.2383  2 Zr 2.33, 4 Ho 2.38-2.44
N7 0.7549 0.7549 0.7549  3 Zr 2.33, 3 Ho 2.43
N8 0.7617 0.2500 0.2500  2 Zr 2.33, 4 Ho 2.38-2.44

Results
formation energy from raw total energies	-1.76	eV per atom



A plane-wave DFT calculation with PBE-GGA was carried out for HoZr5N4 after structural relaxation.

a = 7.2813 Å, b = 7.2813 Å, c = 6.6859 Å
α = 103.98°, β = 103.98°, γ = 26.44°
With the nearest neighbours (Å) after each atom.
Element x y z (fractional)
Ho1 0.0000 0.0000 0.0000  6 N 2.34-2.41
Zr1 0.0000 0.0000 0.5000  4 N 2.31
Zr2 0.3300 0.3300 0.6813  3 N 2.28
Zr3 0.3359 0.3359 0.1519  4 N 2.27-2.32
Zr4 0.6641 0.6641 0.8481  4 N 2.27-2.32
Zr5 0.6700 0.6700 0.3187  3 N 2.28
N1 0.1707 0.1707 0.0871  5 Zr 2.27-2.29, 1 Ho 2.34
N2 0.4954 0.4954 0.7370  4 Zr 2.28-2.32, 2 Ho 2.41
N3 0.5046 0.5046 0.2630  4 Zr 2.28-2.32, 2 Ho 2.41
N4 0.8293 0.8293 0.9129  5 Zr 2.27-2.29, 1 Ho 2.34

Results
formation energy from raw total energies	-1.37	eV per atom